[1]
{
  "formula": "Mn3NiGe",
  "functional": "GGA-PBE",
  "state": "relaxed",
  "formation_energy_ev_per_fu": 3.67,
  "e_tot_ev_per_atom": -6.848,
  "total_magnetization_mub_per_fu": 12.40,
  "spacegroup": "Pm-3m (221)",
  "cell": [[4.578, 0.000, 0.000], [0.000, 4.578, 0.000], [0.000, 0.000, 4.578]],
  "species": ["Mn", "Mn", "Mn", "Ni", "Ge"],
  "fractional_positions": [[0.000, 0.000, 0.500], [0.000, 0.500, 0.000], [0.500, 0.000, 0.000], [0.000, 0.000, 0.000], [0.500, 0.500, 0.500]]
}

[2]
{
  "formula": "AlTl2As",
  "functional": "GGA-PBE",
  "state": "relaxed",
  "formation_energy_ev_per_fu": 1.10,
  "e_tot_ev_per_atom": -3.007,
  "total_magnetization_mub_per_fu": 0.00,
  "spacegroup": "P2/m (10)",
  "cell": [[3.237, 0.000, 0.000], [0.000, 4.789, 0.000], [-0.789, 0.000, 6.457]],
  "species": ["Al", "Tl", "Tl", "As"],
  "fractional_positions": [[0.000, 0.000, 0.000], [0.495, 0.500, 0.748], [0.505, 0.500, 0.252], [0.000, 0.000, 0.500]]
}

[3]
{
  "formula": "ZnIr2Rh4",
  "functional": "GGA-PBE",
  "state": "relaxed",
  "formation_energy_ev_per_fu": 1.68,
  "e_tot_ev_per_atom": -6.674,
  "total_magnetization_mub_per_fu": 0.00,
  "spacegroup": "Cmmm (65)",
  "cell": [[3.588, -3.746, 0.000], [3.588, 3.746, 0.000], [0.000, 0.000, 3.976]],
  "species": ["Zn", "Ir", "Ir", "Rh", "Rh", "Rh", "Rh"],
  "fractional_positions": [[0.000, 0.000, 0.000], [0.315, 0.315, 0.500], [0.685, 0.685, 0.500], [0.000, 0.500, 0.000], [0.206, 0.794, 0.500], [0.500, 0.000, 0.000], [0.794, 0.206, 0.500]]
}

[4]
{
  "formula": "GaAsSe2Cl",
  "functional": "GGA-PBE",
  "state": "relaxed",
  "raw_formation_energy_ev_per_atom": 0.49,
  "e_tot_ev_per_atom": -2.809,
  "total_magnetization_mub_per_fu": 0.00,
  "spacegroup": "P4/mmm (123)",
  "cell": [[4.908, 0.000, 0.000], [0.000, 4.908, 0.000], [0.000, 0.000, 5.177]],
  "species": ["Ga", "As", "Se", "Se", "Cl"],
  "fractional_positions": [[0.000, 0.000, 0.000], [0.000, 0.000, 0.500], [0.000, 0.500, 0.000], [0.500, 0.000, 0.000], [0.500, 0.500, 0.500]]
}

[5]
{
  "formula": "TiV3W4",
  "functional": "GGA-PBE",
  "state": "relaxed",
  "formation_energy_ev_per_fu": -0.26,
  "e_tot_ev_per_atom": -10.916,
  "total_magnetization_mub_per_fu": 0.00,
  "spacegroup": "Pmmm (47)",
  "cell": [[3.108, 0.000, 0.000], [0.000, 4.395, 0.000], [0.000, 0.000, 8.779]],
  "species": ["Ti", "V", "V", "V", "W", "W", "W", "W"],
  "fractional_positions": [[0.000, 0.000, 0.000], [0.000, 0.000, 0.500], [0.000, 0.500, 0.250], [0.000, 0.500, 0.750], [0.500, 0.000, 0.258], [0.500, 0.000, 0.742], [0.500, 0.500, 0.000], [0.500, 0.500, 0.500]]
}

[6]
{
  "formula": "Dy2Mn12Si7",
  "functional": "GGA-PBE",
  "state": "relaxed",
  "raw_formation_energy_ev_per_atom": -0.41,
  "e_tot_ev_per_atom": -7.893,
  "total_magnetization_mub_per_fu": 24.11,
  "spacegroup": "P-6 (174)",
  "cell": [[9.673, 0.000, 0.000], [-4.837, 8.377, 0.000], [0.000, 0.000, 3.571]],
  "species": ["Dy", "Dy", "Mn", "Mn", "Mn", "Mn", "Mn", "Mn", "Mn", "Mn", "Mn", "Mn", "Mn", "Mn", "Si", "Si", "Si", "Si", "Si", "Si", "Si"],
  "fractional_positions": [[0.000, 0.000, 0.000], [0.333, 0.667, 0.500], [0.048, 0.285, 0.500], [0.100, 0.719, 0.000], [0.237, 0.952, 0.500], [0.281, 0.381, 0.000], [0.388, 0.176, 0.000], [0.537, 0.429, 0.500], [0.571, 0.108, 0.500], [0.619, 0.900, 0.000], [0.715, 0.763, 0.500], [0.788, 0.612, 0.000], [0.824, 0.212, 0.000], [0.892, 0.463, 0.500], [0.074, 0.458, 0.000], [0.250, 0.210, 0.500], [0.385, 0.926, 0.000], [0.542, 0.615, 0.000], [0.667, 0.333, 0.000], [0.790, 0.040, 0.500], [0.960, 0.750, 0.500]]
}

[7]
{
  "formula": "La3SiRh2",
  "functional": "GGA-PBE",
  "state": "relaxed",
  "raw_formation_energy_ev_per_atom": -0.68,
  "e_tot_ev_per_atom": -6.493,
  "total_magnetization_mub_per_fu": 0.00,
  "spacegroup": "Immm (71)",
  "cell": [[-2.110, 2.337, 7.317], [2.110, -2.337, 7.317], [2.110, 2.337, -7.317]],
  "species": ["La", "La", "La", "Si", "Rh", "Rh"],
  "fractional_positions": [[0.000, 0.000, 0.000], [0.324, 0.824, 0.500], [0.676, 0.176, 0.500], [0.500, 0.500, 0.000], [0.136, 0.636, 0.500], [0.864, 0.364, 0.500]]
}

[8]
{
  "formula": "Er2AlZn2Pt5",
  "functional": "GGA-PBE",
  "state": "relaxed",
  "formation_energy_ev_per_fu": -9.17,
  "e_tot_ev_per_atom": -5.479,
  "total_magnetization_mub_per_fu": 0.00,
  "spacegroup": "P4/mbm (127)",
  "cell": [[9.617, 0.000, 0.000], [0.000, 9.617, 0.000], [0.000, 0.000, 3.724]],
  "species": ["Er", "Er", "Er", "Er", "Al", "Al", "Zn", "Zn", "Zn", "Zn", "Pt", "Pt", "Pt", "Pt", "Pt", "Pt", "Pt", "Pt", "Pt", "Pt"],
  "fractional_positions": [[0.174, 0.326, 0.000], [0.326, 0.826, 0.000], [0.674, 0.174, 0.000], [0.826, 0.674, 0.000], [0.000, 0.000, 0.000], [0.500, 0.500, 0.000], [0.125, 0.625, 0.000], [0.375, 0.125, 0.000], [0.625, 0.875, 0.000], [0.875, 0.375, 0.000], [0.000, 0.500, 0.500], [0.064, 0.800, 0.500], [0.200, 0.064, 0.500], [0.300, 0.564, 0.500], [0.436, 0.300, 0.500], [0.500, 0.000, 0.500], [0.564, 0.700, 0.500], [0.700, 0.436, 0.500], [0.800, 0.936, 0.500], [0.936, 0.200, 0.500]]
}

[9]
{
  "formula": "KNi",
  "functional": "GGA-PBE",
  "state": "relaxed",
  "formation_energy_ev_per_fu": 1.16,
  "e_tot_ev_per_atom": -2.859,
  "total_magnetization_mub_per_fu": 0.41,
  "spacegroup": "Imma (74)",
  "cell": [[-2.085, 2.847, 4.518], [2.085, -2.847, 4.518], [2.085, 2.847, -4.518]],
  "species": ["K", "K", "Ni", "Ni"],
  "fractional_positions": [[0.343, 0.093, 0.250], [0.657, 0.907, 0.750], [0.043, 0.293, 0.750], [0.957, 0.707, 0.250]]
}